Here is a relaxed Pa2BiSe crystal from the Alexandria database. Energies are from PBE-GGA.

Summary:
- total energy (eV for the cell shown) = -28.3
- spin magnetization (μB/cell) = 2.32
- raw formation energy (meV/atom) = -494
- space-group type = P4/mmm, No. 123

a = 3.6651 Å, b = 3.6651 Å, c = 7.4764 Å
α = 90.00°, β = 90.00°, γ = 90.00°
Atoms (fractional coordinates):
Se  0.5000  0.5000  0.0000
Pa  0.0000  0.0000  0.2355
Pa  0.0000  0.0000  0.7645
Bi  0.5000  0.5000  0.5000

Here is a relaxed Pa2BiSe6 crystal from the Alexandria database. Energies are from PBE-GGA.

Summary:
- total energy (eV for the cell shown) = -53.4
- spin magnetization (μB/cell) = 1.09
- raw formation energy (meV/atom) = -1070
- space-group type = C2/m, No. 12

a = 4.1942 Å, b = 8.5086 Å, c = 9.3781 Å
α = 103.55°, β = 102.92°, γ = 90.00°
Atoms (fractional coordinates):
Se  0.0101  0.2499  0.0202
Se  0.6673  0.1052  0.3346
Se  0.3262  0.4412  0.6525
Se  0.9899  0.7501  0.9798
Se  0.6738  0.5588  0.3475
Se  0.3327  0.8948  0.6654
Pa  0.1652  0.3268  0.3305
Pa  0.8348  0.6732  0.6695
Bi  0.5000  0.0000  0.0000